Computed, not measured: crystalline TbPm4N5 at its relaxed geometry at the GGA-PBE level of DFT.

Space-group type: I4
Electronic total energy: -8.00 eV/atom

CIF file:
```
data_TbPm4N5
_cell_length_a 5.100
_cell_length_b 6.216
_cell_length_c 6.216
_cell_angle_alpha 80.31
_cell_angle_beta 65.78
_cell_angle_gamma 65.78
_symmetry_space_group_name_H-M 'P 1'
_symmetry_Int_Tables_number 1
loop_
_symmetry_equiv_pos_as_xyz
'x,y,z'
loop_
_atom_site_label
_atom_site_type_symbol
_atom_site_fract_x
_atom_site_fract_y
_atom_site_fract_z
N1 N 0.700 0.197 0.394
Pm1 Pm 0.408 0.400 0.801
N2 N 0.291 0.803 0.606
N3 N 0.094 0.606 0.197
N4 N 0.897 0.394 0.803
Pm2 Pm 0.807 0.801 0.600
Pm3 Pm 0.608 0.600 0.199
N5 N 0.487 0.000 0.000
Pm4 Pm 0.209 0.199 0.400
Tb1 Tb 0.011 0.000 0.000
```

=====

Computed, not measured: crystalline TbPm4N4 at its relaxed geometry at the GGA-PBE level of DFT.

Space-group type: P-1
Electronic total energy: -7.63 eV/atom

CIF file:
```
data_TbPm4N4
_cell_length_a 5.116
_cell_length_b 6.250
_cell_length_c 6.249
_cell_angle_alpha 80.30
_cell_angle_beta 65.78
_cell_angle_gamma 65.77
_symmetry_space_group_name_H-M 'P 1'
_symmetry_Int_Tables_number 1
loop_
_symmetry_equiv_pos_as_xyz
'x,y,z'
loop_
_atom_site_label
_atom_site_type_symbol
_atom_site_fract_x
_atom_site_fract_y
_atom_site_fract_z
Pm1 Pm 0.813 0.798 0.578
N1 N 0.291 0.803 0.613
N2 N 0.906 0.387 0.803
N3 N 0.709 0.197 0.387
Pm2 Pm 0.611 0.578 0.202
Tb1 Tb 0.000 0.000 0.000
Pm3 Pm 0.187 0.202 0.422
Pm4 Pm 0.389 0.422 0.798
N4 N 0.094 0.613 0.197
```

=====

Computed, not measured: crystalline Tb2Pm3N4 at its relaxed geometry at the GGA-PBE level of DFT.

Space-group type: C2/m
Electronic total energy: -7.67 eV/atom

CIF file:
```
data_Tb2Pm3N4
_cell_length_a 3.563
_cell_length_b 3.563
_cell_length_c 14.908
_cell_angle_alpha 90.07
_cell_angle_beta 89.93
_cell_angle_gamma 119.99
_symmetry_space_group_name_H-M 'P 1'
_symmetry_Int_Tables_number 1
loop_
_symmetry_equiv_pos_as_xyz
'x,y,z'
loop_
_atom_site_label
_atom_site_type_symbol
_atom_site_fract_x
_atom_site_fract_y
_atom_site_fract_z
Pm1 Pm 0.000 0.000 0.000
Pm2 Pm 0.334 0.666 0.620
Tb1 Tb 0.667 0.333 0.811
Pm3 Pm 0.666 0.334 0.380
Tb2 Tb 0.333 0.667 0.189
N1 N 0.666 0.334 0.103
N2 N 0.001 0.999 0.704
N3 N 0.999 0.001 0.296
N4 N 0.334 0.666 0.897
```

=====

Computed, not measured: crystalline TbPmN at its relaxed geometry at the GGA-PBE level of DFT.

Space-group type: F-43m
ΔE to the lowest computed polymorph: 0.624 eV per atom

CIF file:
```
data_TbPmN
_cell_length_a 4.325
_cell_length_b 4.325
_cell_length_c 4.325
_cell_angle_alpha 60.00
_cell_angle_beta 60.00
_cell_angle_gamma 60.00
_symmetry_space_group_name_H-M 'P 1'
_symmetry_Int_Tables_number 1
loop_
_symmetry_equiv_pos_as_xyz
'x,y,z'
loop_
_atom_site_label
_atom_site_type_symbol
_atom_site_fract_x
_atom_site_fract_y
_atom_site_fract_z
Pm1 Pm 0.000 0.000 0.000
N1 N 0.250 0.250 0.250
Tb1 Tb 0.500 0.500 0.500
```

=====

Computed, not measured: crystalline TbPm2N3 at its relaxed geometry at the GGA-PBE level of DFT.

Space-group type: I4/mmm
Electronic total energy: -8.02 eV/atom

CIF file:
```
data_TbPm2N3
_cell_length_a 3.578
_cell_length_b 3.578
_cell_length_c 8.001
_cell_angle_alpha 102.93
_cell_angle_beta 102.93
_cell_angle_gamma 89.98
_symmetry_space_group_name_H-M 'P 1'
_symmetry_Int_Tables_number 1
loop_
_symmetry_equiv_pos_as_xyz
'x,y,z'
loop_
_atom_site_label
_atom_site_type_symbol
_atom_site_fract_x
_atom_site_fract_y
_atom_site_fract_z
Pm1 Pm 0.099 0.101 0.204
Pm2 Pm 0.769 0.771 0.544
Tb1 Tb 0.434 0.436 0.874
N1 N 0.597 0.599 0.200
N2 N 0.271 0.272 0.548
N3 N 0.934 0.936 0.874
```

=====

Computed, not measured: crystalline Tb2Pm2N3 at its relaxed geometry at the GGA-PBE level of DFT.

Space-group type: C2/m
Electronic total energy: -7.29 eV/atom

CIF file:
```
data_Tb2Pm2N3
_cell_length_a 3.720
_cell_length_b 6.509
_cell_length_c 6.462
_cell_angle_alpha 97.71
_cell_angle_beta 106.73
_cell_angle_gamma 90.00
_symmetry_space_group_name_H-M 'P 1'
_symmetry_Int_Tables_number 1
loop_
_symmetry_equiv_pos_as_xyz
'x,y,z'
loop_
_atom_site_label
_atom_site_type_symbol
_atom_site_fract_x
_atom_site_fract_y
_atom_site_fract_z
Tb1 Tb 0.393 0.627 0.786
N1 N 0.345 0.938 0.691
Tb2 Tb 0.607 0.373 0.214
Pm1 Pm 0.853 0.148 0.705
N2 N 0.655 0.062 0.309
Pm2 Pm 0.147 0.852 0.295
N3 N 0.000 0.500 0.000
```

=====

> Which formula does entry 3 have?

Tb2Pm3N4